(i)
An optimized crystal structure of Y2ScCl. Source: the Alexandria database, functional PBE.

Lattice parameters (Å, degrees): 5.6429 5.6429 3.3786 90.14 90.14 90.67
Element x y z (fractional)
Y: 0.0000 0.0000 0.0000
Y: 0.5000 0.5000 0.0000
Sc: 0.0000 0.5000 0.5000
Cl: 0.5000 0.0000 0.5000

Results
M_tot = 0.000 μB/atom

=====

(ii)
An optimized crystal structure of Y2ScCl. Source: the Alexandria database, functional PBE.

Lattice parameters (Å, degrees): 6.4612 6.4612 6.4612 140.05 140.05 57.78
Element x y z (fractional)
Sc: 0.7500 0.2500 0.5000
Cl: 0.5000 0.5000 0.0000
Y: 0.0000 0.0000 0.0000
Y: 0.2500 0.7500 0.5000

Results
M_tot = 0.172 μB/atom

=====

Short version: (i), (ii), most stable first.

=====

(i)
An optimized crystal structure of YSc2Cl. Source: the Alexandria database, functional PBE.

Lattice parameters (Å, degrees): 9.6118 9.6118 9.6118 20.71 20.71 20.71
Element x y z (fractional)
Sc: 0.0085 0.0085 0.0085
Sc: 0.2542 0.2542 0.2542
Y: 0.4917 0.4917 0.4917
Cl: 0.7456 0.7456 0.7456

Results
M_tot = 0.002 μB/atom

=====

(ii)
An optimized crystal structure of YSc2Cl. Source: the Alexandria database, functional PBE.

Lattice parameters (Å, degrees): 6.2261 6.2261 6.2261 149.78 127.16 62.09
Element x y z (fractional)
Sc: 0.0353 0.0353 0.0000
Sc: 0.4647 0.4647 0.0000
Cl: 0.2500 0.7500 0.5000
Y: 0.7500 0.2500 0.5000

Results
M_tot = 0.000 μB/atom

=====

Short version: (i), (ii), most stable first.

=====

(i)
An optimized crystal structure of YSc2Cl. Source: the Alexandria database, functional PBE.

Lattice parameters (Å, degrees): 3.3564 3.3564 9.4399 90.00 90.00 112.74
Element x y z (fractional)
Sc: 0.5000 0.5000 0.2381
Sc: 0.0000 0.0000 0.9825
Y: 0.0000 0.0000 0.5168
Cl: 0.5000 0.5000 0.7626

Results
M_tot = 0.000 μB/atom

=====

(ii)
An optimized crystal structure of YSc2Cl. Source: the Alexandria database, functional PBE.

Lattice parameters (Å, degrees): 3.3208 5.2442 5.7587 90.00 90.00 90.00
Element x y z (fractional)
Y: 0.5000 0.0000 0.5000
Cl: 0.0000 0.5000 0.5000
Sc: 0.0000 0.0000 0.0000
Sc: 0.5000 0.5000 0.0000

Results
M_tot = 0.000 μB/atom

=====

(iii)
An optimized crystal structure of YSc2Cl. Source: the Alexandria database, functional PBE.

Lattice parameters (Å, degrees): 9.7376 9.7376 9.7376 20.34 20.34 20.34
Element x y z (fractional)
Cl: 0.5000 0.5000 0.5000
Y: 0.0000 0.0000 0.0000
Sc: 0.8901 0.8901 0.8901
Sc: 0.1099 0.1099 0.1099

Results
M_tot = 0.000 μB/atom

=====

Short version: (i), (iii), (ii), most stable first.

=====

(i)
An optimized crystal structure of YSc2Cl. Source: the Alexandria database, functional PBE.

Lattice parameters (Å, degrees): 9.5504 9.5504 9.5504 20.78 20.78 20.78
Element x y z (fractional)
Sc: 0.4881 0.4881 0.4881
Sc: 0.0119 0.0119 0.0119
Cl: 0.7500 0.7500 0.7500
Y: 0.2500 0.2500 0.2500

Results
M_tot = 0.003 μB/atom

=====

(ii)
An optimized crystal structure of YSc2Cl. Source: the Alexandria database, functional PBE.

Lattice parameters (Å, degrees): 5.9410 5.9410 5.9410 135.50 135.50 64.75
Element x y z (fractional)
Y: 0.5000 0.5000 0.0000
Cl: 0.7500 0.2500 0.5000
Sc: 0.2500 0.7500 0.5000
Sc: 0.0000 0.0000 0.0000

Results
M_tot = 0.293 μB/atom

=====

Short version: (i), (ii), most stable first.

=====

(i)
An optimized crystal structure of YSc2Cl. Source: the Alexandria database, functional PBE.

Lattice parameters (Å, degrees): 5.2603 5.2603 5.2603 60.00 60.00 60.00
Element x y z (fractional)
Sc: 0.7500 0.7500 0.7500
Sc: 0.2500 0.2500 0.2500
Cl: 0.0000 0.0000 0.0000
Y: 0.5000 0.5000 0.5000

Results
M_tot = 0.286 μB/atom

=====

(ii)
An optimized crystal structure of YSc2Cl. Source: the Alexandria database, functional PBE.

Lattice parameters (Å, degrees): 3.3125 3.3125 8.9649 90.00 90.00 90.00
Element x y z (fractional)
Cl: 0.5000 0.5000 0.7500
Sc: 0.0000 0.0000 0.5197
Sc: 0.0000 0.0000 0.9803
Y: 0.5000 0.5000 0.2500

Results
M_tot = 0.011 μB/atom

=====

Short version: (ii), (i), most stable first.

=====

(i)
An optimized crystal structure of YSc2Cl. Source: the Alexandria database, functional PBE.

Lattice parameters (Å, degrees): 3.3913 3.3913 9.6149 90.00 90.00 116.95
Element x y z (fractional)
Cl: 0.5000 0.5000 0.7500
Y: 0.5000 0.5000 0.2500
Sc: 0.0000 0.0000 0.9693
Sc: 0.0000 0.0000 0.5307

Results
M_tot = 0.299 μB/atom

=====

(ii)
An optimized crystal structure of YSc2Cl. Source: the Alexandria database, functional PBE.

Lattice parameters (Å, degrees): 6.2071 6.2071 6.2071 149.18 124.51 64.82
Element x y z (fractional)
Sc: 0.0353 0.0353 0.0000
Sc: 0.7628 0.2628 0.5000
Cl: 0.2370 0.7370 0.5000
Y: 0.4650 0.4650 0.0000

Results
M_tot = 0.000 μB/atom

=====

(iii)
An optimized crystal structure of YSc2Cl. Source: the Alexandria database, functional PBE.

Lattice parameters (Å, degrees): 3.3061 3.3061 8.9385 90.00 90.00 90.00
Element x y z (fractional)
Sc: 0.5000 0.5000 0.2378
Sc: 0.0000 0.0000 0.9940
Cl: 0.5000 0.5000 0.7505
Y: 0.0000 0.0000 0.5177

Results
M_tot = 0.003 μB/atom

=====

Short version: (iii), (i), (ii), most stable first.